1.
Density functional theory data (PBE-GGA) for a geometry-optimized Tm3NpSe6 structure.

Structure (POSCAR):
```
Tm3NpSe6
1.0
4.9148 -7.0417 0.0000
4.9148 7.0417 0.0000
0.0000 0.0000 4.2916
Tm Np Se
3 1 6
direct
0.0000 0.0000 0.0000
0.0000 0.5000 0.5000
0.5000 0.0000 0.5000
0.5000 0.5000 0.0000
0.0870 0.3342 0.0000
0.3342 0.0870 0.0000
0.3552 0.6448 0.5000
0.6448 0.3552 0.5000
0.6658 0.9130 0.0000
0.9130 0.6658 0.0000
```

Values from the calculation:
**ΔE_f (raw)**: -1.41 eV per atom
**ΔE to the lowest computed polymorph**: 0.261 eV per atom
**M_tot**: 0.40 μB/atom
**Space-group type**: Cmmm, No. 65
**Total DFT energy (no corrections)**: -6.136 eV per atom
**DOS at the Fermi energy**: 10.126 states/eV/cell

***

2.
Density functional theory data (PBE-GGA) for a geometry-optimized TmNpSe3 structure.

Structure (POSCAR):
```
TmNpSe3
1.0
7.4990 0.0000 0.0000
0.0000 10.7816 0.0000
0.0000 0.0000 6.7145
Tm Np Se
4 4 12
direct
0.1126 0.2500 0.0532
0.3874 0.7500 0.5532
0.6126 0.2500 0.4468
0.8874 0.7500 0.9468
0.0000 0.0000 0.5000
0.0000 0.5000 0.5000
0.5000 0.0000 0.0000
0.5000 0.5000 0.0000
0.0595 0.7500 0.3382
0.1789 0.5915 0.8363
0.1789 0.9085 0.8363
0.3211 0.0915 0.3363
0.3211 0.4085 0.3363
0.4405 0.2500 0.8382
0.5595 0.7500 0.1618
0.6789 0.5915 0.6637
0.6789 0.9085 0.6637
0.8211 0.0915 0.1637
0.8211 0.4085 0.1637
0.9405 0.2500 0.6618
```

Values from the calculation:
**ΔE_f (raw)**: -1.37 eV per atom
**ΔE to the lowest computed polymorph**: 0.129 eV per atom
**M_tot**: 0.80 μB/atom
**Space-group type**: Pnma, No. 62
**Total DFT energy (no corrections)**: -6.942 eV per atom
**DOS at the Fermi energy**: 38.619 states/eV/cell

***

3.
Density functional theory data (PBE-GGA) for a geometry-optimized YTmNp2Se4 structure.

Structure (POSCAR):
```
YTmNp2Se4
1.0
7.0482 0.0000 0.0000
0.0000 4.0647 0.0000
-2.3421 0.0000 6.6876
Y Tm Np Se
1 1 2 4
direct
0.0000 0.0000 0.0000
0.5000 0.5000 0.0000
0.0000 0.5000 0.5000
0.5000 0.0000 0.5000
0.2513 0.5000 0.2458
0.2550 0.0000 0.7565
0.7450 0.0000 0.2435
0.7487 0.5000 0.7542
```

Values from the calculation:
**ΔE_f (raw)**: -1.41 eV per atom
**M_tot**: 1.14 μB/atom
**Space-group type**: P2/m, No. 10
**Total DFT energy (no corrections)**: -7.751 eV per atom
**DOS at the Fermi energy**: 18.638 states/eV/cell

***

4.
Density functional theory data (PBE-GGA) for a geometry-optimized Np2USe4 structure.

Structure (POSCAR):
```
Np2USe4
1.0
-4.3495 4.3495 4.3396
4.3495 -4.3495 4.3396
4.3495 4.3495 -4.3396
Np U Se
4 2 8
direct
0.0001 0.1250 0.3751
0.3750 0.9999 0.1249
0.7499 0.6250 0.6249
0.8750 0.2501 0.8751
0.2500 0.7500 0.5000
0.5000 0.5000 0.0000
0.1260 0.0265 0.7502
0.1258 0.5263 0.7498
0.2763 0.3758 0.2498
0.4737 0.2235 0.5995
0.6240 0.8742 0.4005
0.6242 0.8740 0.9005
0.7765 0.3760 0.2502
0.9735 0.7237 0.0995
```

Values from the calculation:
**ΔE_f (raw)**: -1.15 eV per atom
**ΔE to the lowest computed polymorph**: 0.000 eV per atom
**M_tot**: 1.71 μB/atom
**Space-group type**: I-42d, No. 122
**Total DFT energy (no corrections)**: -8.451 eV per atom
**DOS at the Fermi energy**: 51.637 states/eV/cell

***

5.
Density functional theory data (PBE-GGA) for a geometry-optimized Np5USe6 structure.

Structure (POSCAR):
```
Np5USe6
1.0
3.4548 -5.9822 0.0000
3.4548 5.9822 0.0000
-2.2999 0.0000 6.9536
Np U Se
5 1 6
direct
0.0000 0.0000 0.0000
0.1665 0.8335 0.5000
0.3327 0.6673 0.0000
0.6673 0.3327 0.0000
0.8335 0.1665 0.5000
0.5000 0.5000 0.5000
0.0840 0.4169 0.2503
0.2509 0.2509 0.7506
0.4169 0.0840 0.2503
0.5831 0.9160 0.7497
0.7491 0.7491 0.2494
0.9160 0.5831 0.7497
```

Values from the calculation:
**ΔE_f (raw)**: -1.04 eV per atom
**M_tot**: 0.17 μB/atom
**Space-group type**: C2/m, No. 12
**Total DFT energy (no corrections)**: -9.112 eV per atom
**DOS at the Fermi energy**: 47.759 states/eV/cell

***

6.
Density functional theory data (PBE-GGA) for a geometry-optimized Np2USe6 structure.

Structure (POSCAR):
```
Np2USe6
1.0
7.5020 0.0000 0.0000
-3.7510 6.4969 0.0000
0.0000 0.0000 4.4670
Np U Se
2 1 6
direct
0.3333 0.6667 0.2347
0.6667 0.3333 0.7653
0.0000 0.0000 0.0000
0.0817 0.3781 0.7439
0.2964 0.9183 0.7439
0.3781 0.2964 0.2561
0.6219 0.7036 0.7439
0.7036 0.0817 0.2561
0.9183 0.6219 0.2561
```

Values from the calculation:
**ΔE_f (raw)**: -1.01 eV per atom
**ΔE to the lowest computed polymorph**: 0.000 eV per atom
**M_tot**: 0.89 μB/atom
**Space-group type**: P-3, No. 147
**Total DFT energy (no corrections)**: -7.462 eV per atom
**DOS at the Fermi energy**: 24.619 states/eV/cell

***

7.
Density functional theory data (PBE-GGA) for a geometry-optimized NpU2Se4 structure.

Structure (POSCAR):
```
NpU2Se4
1.0
-4.3371 4.3371 4.3530
4.3371 -4.3371 4.3530
4.3371 4.3371 -4.3530
Np U Se
2 4 8
direct
0.0000 0.0000 0.0000
0.7500 0.2500 0.5000
0.2520 0.1250 0.6270
0.3750 0.7480 0.8730
0.4980 0.6250 0.3730
0.8750 0.5020 0.1270
0.1251 0.3756 0.9023
0.1256 0.3751 0.4023
0.2767 0.8744 0.2495
0.4733 0.2228 0.0977
0.6244 0.5267 0.7495
0.6249 0.0272 0.7505
0.7772 0.8749 0.2505
0.9728 0.7233 0.5977
```

Values from the calculation:
**ΔE_f (raw)**: -1.12 eV per atom
**ΔE to the lowest computed polymorph**: 0.000 eV per atom
**M_tot**: 1.57 μB/atom
**Space-group type**: I-42d, No. 122
**Total DFT energy (no corrections)**: -8.184 eV per atom
**DOS at the Fermi energy**: 44.435 states/eV/cell

***

8.
Density functional theory data (PBE-GGA) for a geometry-optimized NpU2Se4 structure.

Structure (POSCAR):
```
NpU2Se4
1.0
1.9798 -6.7427 0.0000
1.9798 6.7427 0.0000
0.0000 0.0000 13.7482
Np U Se
2 4 8
direct
0.1122 0.8878 0.7500
0.8878 0.1122 0.2500
0.3627 0.6373 0.5639
0.3627 0.6373 0.9361
0.6373 0.3627 0.0639
0.6373 0.3627 0.4361
0.0000 0.0000 0.0000
0.0000 0.0000 0.5000
0.2780 0.7220 0.1285
0.2780 0.7220 0.3715
0.4543 0.5457 0.7500
0.5457 0.4543 0.2500
0.7220 0.2780 0.6285
0.7220 0.2780 0.8715
```

Values from the calculation:
**ΔE_f (raw)**: -1.06 eV per atom
**ΔE to the lowest computed polymorph**: 0.059 eV per atom
**M_tot**: 1.49 μB/atom
**Space-group type**: Cmcm, No. 63
**Total DFT energy (no corrections)**: -8.124 eV per atom
**DOS at the Fermi energy**: 41.099 states/eV/cell

***

9.
Density functional theory data (PBE-GGA) for a geometry-optimized Np2USe6 structure.

Structure (POSCAR):
```
Np2USe6
1.0
6.5774 0.0000 0.0000
0.0000 6.5774 0.0000
0.0000 0.0000 12.8956
Np U Se
4 2 12
direct
0.0000 0.0000 0.1664
0.0000 0.0000 0.8336
0.5000 0.5000 0.3336
0.5000 0.5000 0.6664
0.0000 0.0000 0.5000
0.5000 0.5000 0.0000
0.1934 0.1934 0.3359
0.1934 0.1934 0.6641
0.1981 0.1981 0.0000
0.3019 0.6981 0.5000
0.3066 0.6934 0.1641
0.3066 0.6934 0.8359
0.6934 0.3066 0.1641
0.6934 0.3066 0.8359
0.6981 0.3019 0.5000
0.8019 0.8019 0.0000
0.8066 0.8066 0.3359
0.8066 0.8066 0.6641
```

Values from the calculation:
**ΔE_f (raw)**: -1.00 eV per atom
**ΔE to the lowest computed polymorph**: 0.010 eV per atom
**M_tot**: 0.89 μB/atom
**Space-group type**: P4_2/mnm, No. 136
**Total DFT energy (no corrections)**: -7.451 eV per atom
**DOS at the Fermi energy**: 37.014 states/eV/cell

***

10.
Density functional theory data (PBE-GGA) for a geometry-optimized NpU4Se7 structure.

Structure (POSCAR):
```
NpU4Se7
1.0
4.0413 0.0000 0.0000
-2.0207 3.4999 0.0000
0.0000 0.0000 23.5173
Np U Se
1 4 7
direct
0.0000 0.0000 0.0000
0.3333 0.6667 0.1405
0.3333 0.6667 0.4264
0.6667 0.3333 0.5736
0.6667 0.3333 0.8595
0.0000 0.0000 0.2078
0.0000 0.0000 0.5000
0.0000 0.0000 0.7922
0.3333 0.6667 0.6410
0.3333 0.6667 0.9314
0.6667 0.3333 0.0686
0.6667 0.3333 0.3590
```

Values from the calculation:
**ΔE_f (raw)**: -0.99 eV per atom
**M_tot**: 0.80 μB/atom
**Space-group type**: P-3m1, No. 164
**Total DFT energy (no corrections)**: -7.860 eV per atom
**DOS at the Fermi energy**: 24.660 states/eV/cell

***

11.
Density functional theory data (PBE-GGA) for a geometry-optimized NpUSe6 structure.

Structure (POSCAR):
```
NpUSe6
1.0
4.0037 0.0000 0.0000
0.0000 2.0012 12.2699
0.0000 -2.0012 12.2699
Np U Se
1 1 6
direct
0.0000 0.0000 0.0000
0.5000 0.6565 0.6565
0.0000 0.1239 0.1239
0.0000 0.4105 0.4105
0.0000 0.7461 0.7461
0.5000 0.2460 0.2460
0.5000 0.5343 0.5343
0.5000 0.9105 0.9105
```

Values from the calculation:
**ΔE_f (raw)**: -0.86 eV per atom
**M_tot**: 0.74 μB/atom
**Space-group type**: Amm2, No. 38
**Total DFT energy (no corrections)**: -6.504 eV per atom
**DOS at the Fermi energy**: 15.363 states/eV/cell

***

12.
Density functional theory data (PBE-GGA) for a geometry-optimized NpU2Se3 structure.

Structure (POSCAR):
```
NpU2Se3
1.0
-1.9891 2.8770 6.2503
1.9891 -2.8770 6.2503
1.9891 2.8770 -6.2503
Np U Se
1 2 3
direct
0.0000 0.0000 0.0000
0.3329 0.3329 0.0000
0.6671 0.6671 0.0000
0.1655 0.6655 0.5000
0.5000 0.0000 0.5000
0.8345 0.3345 0.5000
```

Values from the calculation:
**ΔE_f (raw)**: -1.01 eV per atom
**M_tot**: 1.63 μB/atom
**Space-group type**: Immm, No. 71
**Total DFT energy (no corrections)**: -8.670 eV per atom
**DOS at the Fermi energy**: 18.458 states/eV/cell